The following is a PBE-GGA calculation of CsNaTiS3 after structural relaxation, from Alexandria.

Cell lengths 7.2746, 7.2746, 8.2729 Å; angles 110.74, 110.74, 72.78 degrees
Sites, in units of the cell vectors:
Cs: 0.1969 0.1969 0.1624
Cs: 0.8031 0.8031 0.8376
Na: 0.2072 0.7928 0.5000
Na: 0.7928 0.2072 0.5000
Ti: 0.4034 0.4034 0.8309
Ti: 0.5966 0.5966 0.1691
S: 0.2092 0.2092 0.6090
S: 0.2734 0.6572 0.1648
S: 0.3428 0.7266 0.8352
S: 0.6572 0.2734 0.1648
S: 0.7266 0.3428 0.8352
S: 0.7908 0.7908 0.3910

---

The following is a PBE-GGA calculation of CsNaTlS2 after structural relaxation, from Alexandria.

Cell lengths 8.3564, 8.3564, 6.8358 Å; angles 90.00, 90.00, 134.48 degrees
Sites, in units of the cell vectors:
Cs: 0.2500 0.7500 0.7538
Cs: 0.7500 0.2500 0.2462
Na: 0.2500 0.2500 0.0000
Na: 0.7500 0.7500 0.0000
Tl: 0.0000 0.0000 0.5000
Tl: 0.5000 0.5000 0.5000
S: 0.1150 0.8850 0.2189
S: 0.3850 0.6150 0.2189
S: 0.6150 0.3850 0.7811
S: 0.8850 0.1150 0.7811

---

The following is a PBE-GGA calculation of Cs2NaUS4 after structural relaxation, from Alexandria.

Cell lengths 14.5630, 12.8732, 8.4022 Å; angles 83.57, 61.45, 34.98 degrees
Sites, in units of the cell vectors:
Cs: 0.0574 0.0574 0.6926
Cs: 0.3074 0.3074 0.9426
Cs: 0.6926 0.6926 0.0574
Cs: 0.9426 0.9426 0.3074
Na: 0.3750 0.3750 0.3750
Na: 0.6250 0.6250 0.6250
U: 0.1250 0.1250 0.1250
U: 0.8750 0.8750 0.8750
S: 0.0630 0.2901 0.3866
S: 0.2397 0.6134 0.7099
S: 0.2901 0.0630 0.7603
S: 0.3866 0.7603 0.0630
S: 0.6134 0.2397 0.9370
S: 0.7099 0.9370 0.2397
S: 0.7603 0.3866 0.2901
S: 0.9370 0.7099 0.6134

---

The following is a PBE-GGA calculation of Cs2Na2US4 after structural relaxation, from Alexandria.

Cell lengths 8.3414, 8.3414, 8.1717 Å; angles 109.75, 109.75, 30.10 degrees
Sites, in units of the cell vectors:
Cs: 0.1367 0.1367 0.0534
Cs: 0.8633 0.8633 0.9466
Na: 0.3214 0.3214 0.5282
Na: 0.6786 0.6786 0.4718
U: 0.0000 0.0000 0.5000
S: 0.1803 0.1803 0.6616
S: 0.4944 0.4944 0.7145
S: 0.5056 0.5056 0.2855
S: 0.8197 0.8197 0.3384

---

The following is a PBE-GGA calculation of Cs2Na3US6 after structural relaxation, from Alexandria.

Cell lengths 8.5960, 8.5960, 6.9528 Å; angles 99.89, 99.89, 126.17 degrees
Sites, in units of the cell vectors:
Cs: 0.1812 0.8188 0.0000
Cs: 0.8188 0.1812 0.0000
Na: 0.0000 0.0000 0.5000
Na: 0.3884 0.6116 0.5000
Na: 0.6116 0.3884 0.5000
U: 0.5000 0.5000 0.0000
S: 0.1801 0.4173 0.7537
S: 0.2756 0.2756 0.1912
S: 0.4173 0.1801 0.7537
S: 0.5827 0.8199 0.2463
S: 0.7244 0.7244 0.8088
S: 0.8199 0.5827 0.2463

---

The following is a PBE-GGA calculation of Cs2NaUS6 after structural relaxation, from Alexandria.

Cell lengths 7.6654, 7.6654, 7.6654 Å; angles 60.10, 60.10, 60.10 degrees
Sites, in units of the cell vectors:
Cs: 0.2503 0.2503 0.2503
Cs: 0.7497 0.7497 0.7497
Na: 0.5000 0.5000 0.5000
U: 0.0000 0.0000 0.0000
S: 0.2322 0.7675 0.7675
S: 0.2325 0.2325 0.7678
S: 0.2325 0.7678 0.2325
S: 0.7675 0.2322 0.7675
S: 0.7675 0.7675 0.2322
S: 0.7678 0.2325 0.2325

---

The following is a PBE-GGA calculation of Cs2Na2US6 after structural relaxation, from Alexandria.

Cell lengths 7.1724, 7.1724, 8.5396 Å; angles 99.38, 99.38, 118.30 degrees
Sites, in units of the cell vectors:
Cs: 0.1781 0.8219 0.0000
Cs: 0.8219 0.1781 0.0000
Na: 0.3388 0.6612 0.5000
Na: 0.6612 0.3388 0.5000
U: 0.0000 0.0000 0.5000
S: 0.0637 0.3546 0.6834
S: 0.2194 0.2194 0.3212
S: 0.3546 0.0637 0.6834
S: 0.6454 0.9363 0.3166
S: 0.7806 0.7806 0.6788
S: 0.9363 0.6454 0.3166

---

The following is a PBE-GGA calculation of Cs3NaU2S6 after structural relaxation, from Alexandria.

Cell lengths 7.2342, 7.2342, 8.3716 Å; angles 98.19, 98.19, 120.03 degrees
Sites, in units of the cell vectors:
Cs: 0.0000 0.0000 0.0000
Cs: 0.3433 0.6567 0.0000
Cs: 0.6567 0.3433 0.0000
Na: 0.5000 0.5000 0.5000
U: 0.1672 0.8328 0.5000
U: 0.8328 0.1672 0.5000
S: 0.0743 0.4390 0.3160
S: 0.1982 0.1982 0.6785
S: 0.4390 0.0743 0.3160
S: 0.5610 0.9257 0.6840
S: 0.8018 0.8018 0.3215
S: 0.9257 0.5610 0.6840

---

The following is a PBE-GGA calculation of CsNaVS3 after structural relaxation, from Alexandria.

Cell lengths 8.2642, 8.2642, 9.3443 Å; angles 104.95, 104.95, 32.27 degrees
Sites, in units of the cell vectors:
Cs: 0.1376 0.1376 0.0717
Cs: 0.8624 0.8624 0.9283
Na: 0.1632 0.1632 0.5772
Na: 0.8368 0.8368 0.4228
V: 0.4970 0.4970 0.6470
V: 0.5030 0.5030 0.3530
S: 0.0023 0.0023 0.3318
S: 0.3549 0.3549 0.6429
S: 0.3640 0.3640 0.2147
S: 0.6360 0.6360 0.7853
S: 0.6451 0.6451 0.3571
S: 0.9977 0.9977 0.6682

---

The following is a PBE-GGA calculation of Cs2NaV2S6 after structural relaxation, from Alexandria.

Cell lengths 8.5369, 8.5369, 8.5369 Å; angles 52.29, 52.29, 52.29 degrees
Sites, in units of the cell vectors:
Cs: 0.2400 0.2400 0.2400
Cs: 0.7600 0.7600 0.7600
Na: 0.0000 0.0000 0.0000
V: 0.4341 0.4341 0.4341
V: 0.5659 0.5659 0.5659
S: 0.2556 0.2556 0.7283
S: 0.2556 0.7283 0.2556
S: 0.2717 0.7444 0.7444
S: 0.7283 0.2556 0.2556
S: 0.7444 0.2717 0.7444
S: 0.7444 0.7444 0.2717

---

The following is a PBE-GGA calculation of Cs2NaVS4 after structural relaxation, from Alexandria.

Cell lengths 14.3644, 12.9643, 7.6586 Å; angles 84.11, 63.86, 32.03 degrees
Sites, in units of the cell vectors:
Cs: 0.0539 0.0539 0.6961
Cs: 0.3039 0.3039 0.9461
Cs: 0.6961 0.6961 0.0539
Cs: 0.9461 0.9461 0.3039
Na: 0.1250 0.1250 0.1250
Na: 0.8750 0.8750 0.8750
V: 0.3750 0.3750 0.3750
V: 0.6250 0.6250 0.6250
S: 0.0413 0.6085 0.5244
S: 0.3258 0.5244 0.6085
S: 0.3915 0.9587 0.6742
S: 0.4756 0.6742 0.9587
S: 0.5244 0.3258 0.0413
S: 0.6085 0.0413 0.3258
S: 0.6742 0.4756 0.3915
S: 0.9587 0.3915 0.4756

---

The following is a PBE-GGA calculation of Cs3NaW2S8 after structural relaxation, from Alexandria.

Cell lengths 7.4396, 7.4396, 9.9475 Å; angles 90.00, 90.00, 120.00 degrees
Sites, in units of the cell vectors:
Cs: 0.0000 0.0000 0.0000
Cs: 0.3333 0.6667 0.6540
Cs: 0.6667 0.3333 0.3461
Na: 0.0000 0.0000 0.5000
W: 0.3333 0.6667 0.2350
W: 0.6667 0.3333 0.7650
S: 0.1715 0.3430 0.3103
S: 0.1715 0.8285 0.3103
S: 0.3333 0.6667 0.0158
S: 0.3430 0.1715 0.6897
S: 0.6570 0.8285 0.3103
S: 0.6667 0.3333 0.9842
S: 0.8285 0.1715 0.6897
S: 0.8285 0.6570 0.6897

---

| no. | total energy (eV/atom) |
| --- | --- |
| 1 | -4.831 |
| 2 | -3.158 |
| 3 | -4.943 |
| 4 | -4.797 |
| 5 | -4.580 |
| 6 | -4.781 |
| 7 | -4.655 |
| 8 | -5.639 |
| 9 | -4.737 |
| 10 | -5.040 |
| 11 | -4.685 |
| 12 | -5.472 |